No. 1
# Tl2CuSb

A relaxed structure of Tl2CuSb (PBE, Alexandria via LeMat-Bulk).

## Properties
**Distance to the lowest polymorph of the same formula**: 13.69 kJ per mole of atoms
**Uncorrected formation energy**: 0.165 eV/atom
**M_tot**: 0.0 μB per formula unit
**Space group**: Imm2 (44)

Unit cell a=6.613 b=6.613 c=6.613 alpha=150.46 beta=132.60 gamma=56.85
Fractional coordinates of all 4 atoms:
Cu: 0.514 0.514 0.000
Sb: 0.690 0.190 0.500
Tl: 0.996 0.996 0.000
Tl: 0.300 0.800 0.500

=====

No. 2
# TlCu2Sb

A relaxed structure of TlCu2Sb (PBE, Alexandria via LeMat-Bulk).

## Properties
**Uncorrected formation energy**: 0.096 eV/atom
**M_tot**: 0.0 μB per formula unit
**Space group**: Amm2 (38)

Unit cell a=4.217 b=4.217 c=5.222 alpha=90.00 beta=90.00 gamma=60.29
Fractional coordinates of all 4 atoms:
Cu: 0.875 0.875 0.990
Cu: 0.875 0.875 0.510
Sb: 0.541 0.541 0.750
Tl: 0.209 0.209 0.250

=====

No. 3
# TlCuSb4

A relaxed structure of TlCuSb4 (PBE, Alexandria via LeMat-Bulk).

## Properties
**Uncorrected formation energy**: 0.418 eV/atom
**M_tot**: 0.0 μB per formula unit
**Space group**: F-43m (216)

Unit cell a=6.273 b=6.273 c=6.273 alpha=60.00 beta=60.00 gamma=60.00
Fractional coordinates of all 6 atoms:
Tl: 0.750 0.750 0.750
Cu: 0.000 0.000 0.000
Sb: 0.878 0.374 0.374
Sb: 0.374 0.374 0.878
Sb: 0.374 0.878 0.374
Sb: 0.374 0.374 0.374

=====

No. 4
# TlCu2Sb2

A relaxed structure of TlCu2Sb2 (PBE, Alexandria via LeMat-Bulk).

## Properties
**Distance to the lowest polymorph of the same formula**: 14.60 kJ per mole of atoms
**Uncorrected formation energy**: 0.232 eV/atom
**M_tot**: 0.0 μB per formula unit
**Space group**: P4/mbm (127)

Unit cell a=8.493 b=8.493 c=3.069 alpha=90.00 beta=90.00 gamma=90.00
Fractional coordinates of all 10 atoms:
Sb: 0.353 0.853 0.000
Sb: 0.853 0.647 0.000
Sb: 0.647 0.147 0.000
Sb: 0.147 0.353 0.000
Tl: 0.000 0.000 0.000
Tl: 0.500 0.500 0.000
Cu: 0.140 0.640 0.500
Cu: 0.640 0.860 0.500
Cu: 0.860 0.360 0.500
Cu: 0.360 0.140 0.500

=====

No. 5
# Tl2CuSb

A relaxed structure of Tl2CuSb (PBE, Alexandria via LeMat-Bulk).

## Properties
**Distance to the lowest polymorph of the same formula**: 11.02 kJ per mole of atoms
**Uncorrected formation energy**: 0.137 eV/atom
**M_tot**: 0.0 μB per formula unit
**Space group**: Pm (6)

Unit cell a=3.835 b=3.362 c=8.371 alpha=77.83 beta=90.00 gamma=90.00
Fractional coordinates of all 4 atoms:
Cu: 0.000 0.695 0.487
Sb: 0.500 0.586 0.703
Tl: 0.000 0.936 0.995
Tl: 0.500 0.283 0.315

=====

No. 6
# Tl2CuSb

A relaxed structure of Tl2CuSb (PBE, Alexandria via LeMat-Bulk).

## Properties
**Distance to the lowest polymorph of the same formula**: 0.00 kJ per mole of atoms
**Uncorrected formation energy**: 0.023 eV/atom
**M_tot**: 0.0 μB per formula unit
**Space group**: Cm (8)

Unit cell a=4.467 b=4.467 c=7.332 alpha=72.41 beta=72.41 gamma=60.02
Fractional coordinates of all 4 atoms:
Sb: 0.210 0.210 0.370
Tl: 0.978 0.978 0.064
Tl: 0.773 0.773 0.680
Cu: 0.538 0.538 0.386

=====

No. 7
# Tl2CuSb

A relaxed structure of Tl2CuSb (PBE, Alexandria via LeMat-Bulk).

## Properties
**Distance to the lowest polymorph of the same formula**: 20.26 kJ per mole of atoms
**Uncorrected formation energy**: 0.233 eV/atom
**M_tot**: 0.0 μB per formula unit
**Space group**: P4/mmm (123)

Unit cell a=3.348 b=3.348 c=8.858 alpha=90.00 beta=90.00 gamma=89.99
Fractional coordinates of all 4 atoms:
Cu: 0.500 0.500 0.250
Sb: 0.500 0.500 0.750
Tl: 0.000 0.000 0.047
Tl: 0.000 0.000 0.453

=====

No. 8
# TlCu3Sb2

A relaxed structure of TlCu3Sb2 (PBE, Alexandria via LeMat-Bulk).

## Properties
**Uncorrected formation energy**: 0.046 eV/atom
**M_tot**: 0.0 μB per formula unit
**Space group**: C2/m (12)

Unit cell a=7.153 b=7.153 c=10.559 alpha=61.96 beta=61.96 gamma=32.49
Fractional coordinates of all 12 atoms:
Tl: 0.892 0.892 0.970
Tl: 0.108 0.108 0.030
Cu: 0.247 0.247 0.587
Cu: 0.925 0.925 0.461
Cu: 0.580 0.580 0.375
Cu: 0.420 0.420 0.625
Cu: 0.075 0.075 0.539
Cu: 0.753 0.753 0.413
Sb: 0.418 0.418 0.298
Sb: 0.582 0.582 0.702
Sb: 0.787 0.787 0.757
Sb: 0.213 0.213 0.243

=====

No. 9
# Tl2CuSb

A relaxed structure of Tl2CuSb (PBE, Alexandria via LeMat-Bulk).

## Properties
**Distance to the lowest polymorph of the same formula**: 7.94 kJ per mole of atoms
**Uncorrected formation energy**: 0.105 eV/atom
**M_tot**: 0.0 μB per formula unit
**Space group**: Immm (71)

Unit cell a=8.052 b=8.052 c=4.230 alpha=74.79 beta=74.79 gamma=24.49
Fractional coordinates of all 4 atoms:
Cu: 0.750 0.750 0.750
Sb: 0.250 0.250 0.250
Tl: 0.078 0.078 0.922
Tl: 0.422 0.422 0.578

=====

No. 10
# TlCu2Sb2

A relaxed structure of TlCu2Sb2 (PBE, Alexandria via LeMat-Bulk).

## Properties
**Distance to the lowest polymorph of the same formula**: 10.70 kJ per mole of atoms
**Uncorrected formation energy**: 0.192 eV/atom
**M_tot**: 0.0 μB per formula unit
**Space group**: I4/mmm (139)

Unit cell a=4.694 b=4.694 c=6.274 alpha=68.03 beta=68.03 gamma=90.00
Fractional coordinates of all 5 atoms:
Sb: 0.750 0.250 0.500
Sb: 0.250 0.750 0.500
Tl: 0.000 0.000 0.000
Cu: 0.380 0.380 0.241
Cu: 0.620 0.620 0.759

=====

No. 11
# TlCu2Sb

A relaxed structure of TlCu2Sb (PBE, Alexandria via LeMat-Bulk).

## Properties
**Uncorrected formation energy**: 0.307 eV/atom
**M_tot**: 0.0 μB per formula unit
**Space group**: Pmmm (47)

Unit cell a=4.443 b=5.241 c=3.427 alpha=90.00 beta=90.00 gamma=90.00
Fractional coordinates of all 4 atoms:
Cu: 0.000 0.000 0.000
Cu: 0.500 0.500 0.000
Sb: 0.500 0.000 0.500
Tl: 0.000 0.500 0.500

=====

No. 12
# Tl2CuSb

A relaxed structure of Tl2CuSb (PBE, Alexandria via LeMat-Bulk).

## Properties
**Distance to the lowest polymorph of the same formula**: 19.39 kJ per mole of atoms
**Uncorrected formation energy**: 0.224 eV/atom
**M_tot**: 0.0 μB per formula unit
**Space group**: I-42d (122)

Unit cell a=9.920 b=9.920 c=7.431 alpha=48.13 beta=48.13 gamma=90.00
Fractional coordinates of all 8 atoms:
Sb: 0.000 0.000 0.000
Sb: 0.750 0.250 0.500
Tl: 0.516 0.125 0.250
Tl: 0.234 0.625 0.250
Tl: 0.375 0.484 0.750
Tl: 0.875 0.766 0.750
Cu: 0.500 0.500 0.000
Cu: 0.250 0.750 0.500

=====

No. 13
# TlCu2Sb

A relaxed structure of TlCu2Sb (PBE, Alexandria via LeMat-Bulk).

## Properties
**Uncorrected formation energy**: 0.256 eV/atom
**M_tot**: 0.0 μB per formula unit
**Space group**: Pmm2 (25)

Unit cell a=3.618 b=4.194 c=5.483 alpha=90.00 beta=90.00 gamma=90.00
Fractional coordinates of all 4 atoms:
Cu: 0.000 0.000 0.875
Cu: 0.500 0.500 0.374
Sb: 0.000 0.000 0.376
Tl: 0.500 0.500 0.875

=====

No. 14
# Tl2CuSb

A relaxed structure of Tl2CuSb (PBE, Alexandria via LeMat-Bulk).

## Properties
**Distance to the lowest polymorph of the same formula**: 9.52 kJ per mole of atoms
**Uncorrected formation energy**: 0.121 eV/atom
**M_tot**: 0.0 μB per formula unit
**Space group**: P4mm (99)

Unit cell a=3.369 b=3.369 c=8.968 alpha=90.00 beta=90.00 gamma=90.00
Fractional coordinates of all 4 atoms:
Cu: 0.000 0.000 0.521
Sb: 0.500 0.500 0.688
Tl: 0.000 0.000 0.990
Tl: 0.500 0.500 0.302

=====

No. 15
# TlCuSb3

A relaxed structure of TlCuSb3 (PBE, Alexandria via LeMat-Bulk).

## Properties
**Distance to the lowest polymorph of the same formula**: 0.00 kJ per mole of atoms
**Uncorrected formation energy**: 0.352 eV/atom
**M_tot**: 0.0 μB per formula unit
**Space group**: Pm-3m (221)

Unit cell a=5.222 b=5.222 c=5.222 alpha=90.00 beta=90.00 gamma=90.00
Fractional coordinates of all 5 atoms:
Sb: 0.000 0.500 0.000
Sb: 0.000 0.000 0.500
Sb: 0.500 0.000 0.000
Tl: 0.500 0.500 0.500
Cu: 0.000 0.000 0.000

=====

No. 16
# TlCu2Sb

A relaxed structure of TlCu2Sb (PBE, Alexandria via LeMat-Bulk).

## Properties
**Uncorrected formation energy**: 0.144 eV/atom
**M_tot**: 0.0 μB per formula unit
**Space group**: Pm (6)

Unit cell a=4.150 b=3.873 c=5.264 alpha=68.53 beta=90.00 gamma=90.00
Fractional coordinates of all 4 atoms:
Cu: 0.000 0.192 0.984
Cu: 0.500 0.053 0.281
Sb: 0.000 0.491 0.399
Tl: 0.500 0.764 0.836

=====

No. 17
# TlCu2Sb

A relaxed structure of TlCu2Sb (PBE, Alexandria via LeMat-Bulk).

## Properties
**Uncorrected formation energy**: 0.344 eV/atom
**M_tot**: 0.0 μB per formula unit
**Space group**: I-4m2 (119)

Unit cell a=5.761 b=5.761 c=5.761 alpha=139.65 beta=139.65 gamma=58.38
Fractional coordinates of all 4 atoms:
Cu: 0.000 0.000 0.000
Cu: 0.250 0.750 0.500
Sb: 0.500 0.500 0.000
Tl: 0.750 0.250 0.500

=====

No. 18
# TlCu2Sb

A relaxed structure of TlCu2Sb (PBE, Alexandria via LeMat-Bulk).

## Properties
**Uncorrected formation energy**: 0.306 eV/atom
**M_tot**: 0.0 μB per formula unit
**Space group**: C2/m (12)

Unit cell a=7.565 b=4.973 c=3.304 alpha=82.66 beta=74.41 gamma=132.17
Fractional coordinates of all 4 atoms:
Cu: 0.000 0.000 0.000
Cu: 0.500 0.000 0.500
Sb: 0.000 0.500 0.500
Tl: 0.500 0.500 0.000

=====

No. 19
# TlCu2Sb

A relaxed structure of TlCu2Sb (PBE, Alexandria via LeMat-Bulk).

## Properties
**Uncorrected formation energy**: 0.208 eV/atom
**M_tot**: 0.0 μB per formula unit
**Space group**: C2/m (12)

Unit cell a=4.547 b=4.547 c=6.669 alpha=69.16 beta=69.16 gamma=43.54
Fractional coordinates of all 4 atoms:
Cu: 0.985 0.985 0.919
Cu: 0.515 0.515 0.581
Sb: 0.750 0.750 0.750
Tl: 0.250 0.250 0.250

=====

No. 20
# TlCu2Sb2

A relaxed structure of TlCu2Sb2 (PBE, Alexandria via LeMat-Bulk).

## Properties
**Distance to the lowest polymorph of the same formula**: 11.55 kJ per mole of atoms
**Uncorrected formation energy**: 0.201 eV/atom
**M_tot**: 0.0 μB per formula unit
**Space group**: P4/mbm (127)

Unit cell a=8.286 b=8.286 c=3.169 alpha=90.00 beta=90.00 gamma=90.00
Fractional coordinates of all 10 atoms:
Sb: 0.155 0.655 0.500
Sb: 0.655 0.845 0.500
Sb: 0.845 0.345 0.500
Sb: 0.345 0.155 0.500
Tl: 0.000 0.000 0.000
Tl: 0.500 0.500 0.000
Cu: 0.371 0.871 0.000
Cu: 0.871 0.629 0.000
Cu: 0.629 0.129 0.000
Cu: 0.129 0.371 0.000

=====

No. 21
# TlCu2Sb

A relaxed structure of TlCu2Sb (PBE, Alexandria via LeMat-Bulk).

## Properties
**Uncorrected formation energy**: 0.276 eV/atom
**M_tot**: 0.0 μB per formula unit
**Space group**: I-42d (122)

Unit cell a=4.817 b=4.817 c=8.878 alpha=74.26 beta=74.26 gamma=90.00
Fractional coordinates of all 8 atoms:
Sb: 0.500 0.500 0.000
Sb: 0.250 0.750 0.500
Tl: 0.000 0.000 0.000
Tl: 0.750 0.250 0.500
Cu: 0.543 0.125 0.250
Cu: 0.207 0.625 0.250
Cu: 0.375 0.457 0.750
Cu: 0.875 0.793 0.750

=====

No. 22
# TlCu3Sb3

A relaxed structure of TlCu3Sb3 (PBE, Alexandria via LeMat-Bulk).

## Properties
**Uncorrected formation energy**: 0.221 eV/atom
**M_tot**: 0.0 μB per formula unit
**Space group**: Pm-3n (223)

Unit cell a=7.217 b=7.217 c=7.217 alpha=90.00 beta=90.00 gamma=90.00
Fractional coordinates of all 14 atoms:
Sb: 0.000 0.250 0.500
Sb: 0.000 0.750 0.500
Sb: 0.500 0.000 0.750
Sb: 0.750 0.500 0.000
Sb: 0.500 0.000 0.250
Sb: 0.250 0.500 0.000
Tl: 0.500 0.500 0.500
Tl: 0.000 0.000 0.000
Cu: 0.250 0.000 0.500
Cu: 0.000 0.500 0.250
Cu: 0.500 0.750 0.000
Cu: 0.750 0.000 0.500
Cu: 0.000 0.500 0.750
Cu: 0.500 0.250 0.000

=====

No. 23
# Tl2CuSb

A relaxed structure of Tl2CuSb (PBE, Alexandria via LeMat-Bulk).

## Properties
**Distance to the lowest polymorph of the same formula**: 29.83 kJ per mole of atoms
**Uncorrected formation energy**: 0.332 eV/atom
**M_tot**: 0.0 μB per formula unit
**Space group**: Fm-3m (225)

Unit cell a=5.284 b=5.284 c=5.284 alpha=60.00 beta=60.00 gamma=60.00
Fractional coordinates of all 4 atoms:
Sb: 0.500 0.500 0.500
Tl: 0.250 0.250 0.250
Tl: 0.750 0.750 0.750
Cu: 0.000 0.000 0.000

=====

No. 24
# Tl2CuSbW

A relaxed structure of Tl2CuSbW (PBE, Alexandria via LeMat-Bulk).

## Properties
**Uncorrected formation energy**: 1.274 eV/atom
**M_tot**: 4.0 μB per formula unit
**Space group**: P4/mmm (123)

Unit cell a=5.045 b=5.215 c=5.045 alpha=90.00 beta=90.00 gamma=90.00
Each line ends with the local moment (μB).
Fractional coordinates of all 5 atoms:
Sb: 0.000 0.500 0.000  -0.07
Tl: 0.000 0.000 0.500  0.01
Tl: 0.500 0.000 0.000  0.01
Cu: 0.000 0.000 0.000  0.00
W: 0.500 0.500 0.500  3.02

=====

No. 25
# Tm12Cu6Sb

A relaxed structure of Tm12Cu6Sb (PBE, Alexandria via LeMat-Bulk).

## Properties
**Uncorrected formation energy**: -0.262 eV/atom
**M_tot**: 0.0 μB per formula unit
**Space group**: Im-3 (204)

Unit cell a=8.415 b=8.415 c=8.415 alpha=109.47 beta=109.47 gamma=109.47
Fractional coordinates of all 19 atoms:
Tm: 0.300 0.111 0.811
Tm: 0.300 0.489 0.189
Tm: 0.700 0.511 0.811
Tm: 0.700 0.889 0.189
Tm: 0.111 0.811 0.300
Tm: 0.489 0.189 0.300
Tm: 0.511 0.811 0.700
Tm: 0.889 0.189 0.700
Tm: 0.811 0.300 0.111
Tm: 0.189 0.300 0.489
Tm: 0.811 0.700 0.511
Tm: 0.189 0.700 0.889
Cu: 0.376 0.500 0.876
Cu: 0.624 0.500 0.124
Cu: 0.500 0.876 0.376
Cu: 0.500 0.124 0.624
Cu: 0.876 0.376 0.500
Cu: 0.124 0.624 0.500
Sb: 0.000 0.000 0.000

=====

No. 26
# Tm5CuSb2

A relaxed structure of Tm5CuSb2 (PBE, Alexandria via LeMat-Bulk).

## Properties
**Uncorrected formation energy**: -0.292 eV/atom
**M_tot**: 0.0 μB per formula unit
**Space group**: Cmcm (63)

Unit cell a=5.671 b=6.577 c=13.543 alpha=90.00 beta=90.00 gamma=115.54
Fractional coordinates of all 16 atoms:
Tm: 0.935 0.870 0.893
Tm: 0.935 0.870 0.607
Tm: 0.381 0.762 0.434
Tm: 0.381 0.762 0.066
Tm: 0.625 0.250 0.250
Tm: 0.375 0.750 0.750
Tm: 0.619 0.238 0.566
Tm: 0.619 0.238 0.934
Tm: 0.065 0.130 0.107
Tm: 0.065 0.130 0.393
Cu: 0.763 0.525 0.750
Cu: 0.237 0.475 0.250
Sb: 0.803 0.605 0.402
Sb: 0.803 0.605 0.098
Sb: 0.197 0.395 0.598
Sb: 0.197 0.395 0.902